No. 1
Ta2Si2B: optimized geometry, PBE.

Values from the calculation:
V: 90.3 Å³/cell
E_tot: -7.2564 eV per atom

Cell lengths 6.000, 6.000, 6.000 Å; angles 139.48, 139.48, 58.65 degrees
Positions (direct):
Ta (0.250, 0.750, 0.500)
Ta (0.750, 0.250, 0.500)
Si (0.107, 0.107, 0.000)
Si (0.893, 0.893, 0.000)
B (0.500, 0.500, 0.000)


No. 2
HoZnPd: optimized geometry, PBE.

Values from the calculation:
V: 71.2 Å³/cell
ΔE_f: -0.13 eV per atom

Cell lengths 4.651, 4.651, 4.651 Å; angles 60.00, 60.00, 60.00 degrees
Positions (direct):
Ho (0.000, 0.000, 0.000)
Zn (0.250, 0.250, 0.250)
Pd (0.750, 0.750, 0.750)


No. 3
LiNpNb: optimized geometry, PBE.

Values from the calculation:
V: 57.4 Å³/cell
Polymorph energy (0 for the lowest one): 0.0000 eV per atom

Cell lengths 4.330, 4.330, 4.330 Å; angles 60.00, 60.00, 60.00 degrees
Positions (direct):
Li (0.000, 0.000, 0.000)
Np (0.500, 0.500, 0.500)
Nb (0.250, 0.250, 0.250)


Mass density (g/cm3)
7.89, 7.86, 9.74